1.
# TaMoOsI2

An optimized crystal structure of TaMoOsI2 (PBE-GGA, Alexandria).

Lattice parameters (Å, degrees): 5.191 5.191 4.818 90.00 90.00 90.00
Space group P4/mmm (No. 123)
Unique sites:
Ta  0.000  0.000  0.000
Mo  0.500  0.500  0.000
Os  0.500  0.500  0.500
I  0.000  0.500  0.500

Summary:
E_form (uncorrected): 2.066 eV/atom



2.
# Re5Os2

An optimized crystal structure of Re5Os2 (PBE-GGA, Alexandria).

Lattice parameters (Å, degrees): 3.235 3.235 20.167 90.00 90.00 90.00
Space group I4/mmm (No. 139)
Unique sites:
Re  0.000  0.000  0.000
Re  0.000  0.000  0.146
Re  0.000  0.000  0.427
Os  0.000  0.000  0.286

Summary:
Relative energy among the computed polymorphs: 358 meV per atom
Formation energy from the elements: 437.3 meV/atom



3.
# CaNbPO2

An optimized crystal structure of CaNbPO2 (PBE-GGA, Alexandria).

Lattice parameters (Å, degrees): 4.063 4.063 5.514 90.00 90.00 90.00
Space group P4/mmm (No. 123)
Unique sites:
Ca  0.000  0.000  0.000
Nb  0.500  0.500  0.500
P  0.000  0.000  0.500
O  0.000  0.500  0.000

Summary:
E_form (uncorrected): -0.029 eV/atom
Relative energy among the computed polymorphs: 1845 meV per atom



4.
# Tl7Sn2Pb3

An optimized crystal structure of Tl7Sn2Pb3 (PBE-GGA, Alexandria).

Lattice parameters (Å, degrees): 3.564 5.690 36.615 90.00 90.00 90.00
Space group Immm (No. 71)
Unique sites:
Tl  0.000  0.000  0.000
Tl  0.000  0.000  0.236
Tl  0.000  0.500  0.088
Tl  0.000  0.500  0.422
Sn  0.000  0.000  0.152
Pb  0.000  0.000  0.327
Pb  0.000  0.000  0.500

Summary:
Formation energy from the elements: 66.8 meV/atom



- Number 4 is which compound?
  Tl7Sn2Pb3